The following is a DFT calculation (PBE-GGA) of a relaxed structure of AgPd2I.

Summary:
* final energy: -14.01 eV/f.u.
* density: 9.79 g/cm3
* total magnetic moment: 0.000 μB per formula unit

a = 6.723 Å, b = 6.723 Å, c = 6.723 Å
α = 90.00°, β = 90.00°, γ = 90.00°
Space group Fm-3m (No. 225)
Asymmetric unit:
Ag 0.000 0.000 0.000 (multiplicity 4)
Pd 0.250 0.250 0.250 (multiplicity 8)
I 0.000 0.000 0.500 (multiplicity 4)